DFT (GGA-PBE) results for a geometry-optimized CaHf2Ge2 structure. Values from VASP.

Structure (Quantum ESPRESSO input):
```
&SYSTEM
  ibrav = 0, nat = 10, ntyp = 3
/
ATOMIC_SPECIES
Ge 72.64 Ge.upf
Hf 178.49 Hf.upf
Ca 40.08 Ca.upf
CELL_PARAMETERS angstrom
-5.0843 -5.4934 -0.8027
2.5096 -3.2451 6.3121
-2.4118 1.9459 1.9593
ATOMIC_POSITIONS crystal
Ge 0.3648 0.8648 0.0000
Ge 0.8648 0.6352 0.0000
Ge 0.6352 0.1352 0.0000
Ge 0.1352 0.3648 0.0000
Hf 0.1601 0.6601 0.5000
Hf 0.6601 0.8399 0.5000
Hf 0.8399 0.3399 0.5000
Hf 0.3399 0.1601 0.5000
Ca 0.0000 0.0000 0.0000
Ca 0.5000 0.5000 0.0000
```

Results
Formation enthalpy at 0 K ... -0.424 eV/atom
N(E_F) ... 5.1 states/eV/cell